Record 1
! LiNpMnO6, relaxed, DFT GGA+U; values from VASP
&SYSTEM
  ibrav = 0, nat = 18, ntyp = 4
/
ATOMIC_SPECIES
Li 6.94 Li.upf
Np 237.00 Np.upf
Mn 54.94 Mn.upf
O 16.00 O.upf
ATOMIC_POSITIONS crystal
Li 0.000 0.000 0.000
Li 0.500 0.500 0.500
Np 0.000 0.000 0.335
Np 0.500 0.500 0.835
Mn 0.000 0.000 0.673
Mn 0.500 0.500 0.173
O 0.183 0.183 0.509
O 0.195 0.195 0.824
O 0.206 0.206 0.176
O 0.294 0.706 0.676
O 0.305 0.695 0.324
O 0.317 0.683 0.009
O 0.683 0.317 0.009
O 0.695 0.305 0.324
O 0.706 0.294 0.676
O 0.794 0.794 0.176
O 0.805 0.805 0.824
O 0.817 0.817 0.509
CELL_PARAMETERS angstrom
4.732 0.000 0.000
0.000 4.732 0.000
0.000 0.000 9.210
! SG	No. 102
! calculated total energy	-7.80	eV/atom
! crystal system	tetragonal

***

Record 2
! LiNpMn2O6, relaxed, DFT GGA+U; values from VASP
&SYSTEM
  ibrav = 0, nat = 10, ntyp = 4
/
ATOMIC_SPECIES
Li 6.94 Li.upf
Np 237.00 Np.upf
Mn 54.94 Mn.upf
O 16.00 O.upf
ATOMIC_POSITIONS crystal
Li 0.000 0.000 0.000
Np 0.527 0.944 0.569
Mn 0.212 0.590 0.611
Mn 0.740 0.525 0.179
O 0.133 0.042 0.357
O 0.311 0.112 0.815
O 0.428 0.441 0.370
O 0.585 0.481 0.834
O 0.821 0.755 0.363
O 0.941 0.753 0.823
CELL_PARAMETERS angstrom
5.259 0.000 0.000
2.607 4.590 0.000
0.013 2.860 4.934
! SG	No. 1
! calculated total energy	-7.98	eV/atom
! crystal system	triclinic

***

Record 3
! Li2NpMnO8, relaxed, DFT GGA+U; values from VASP
&SYSTEM
  ibrav = 0, nat = 12, ntyp = 4
/
ATOMIC_SPECIES
Li 6.94 Li.upf
Np 237.00 Np.upf
Mn 54.94 Mn.upf
O 16.00 O.upf
ATOMIC_POSITIONS crystal
Li 0.333 0.667 0.266
Li 0.667 0.333 0.734
Np 0.000 0.000 0.000
Mn 0.000 0.000 0.500
O 0.027 0.688 0.856
O 0.312 0.339 0.856
O 0.333 0.667 0.480
O 0.339 0.027 0.144
O 0.661 0.973 0.856
O 0.667 0.333 0.520
O 0.688 0.661 0.144
O 0.973 0.312 0.144
CELL_PARAMETERS angstrom
4.401 0.000 0.000
-2.201 3.812 0.000
0.000 0.000 8.886
! N(E_F)	0.706	states/eV/atom
! SG	No. 147
! calculated total energy	-6.36	eV/atom
! crystal system	trigonal